# 1
! Ba2HoCd | Alexandria | PBE-GGA | optimized geometry; values from VASP
&SYSTEM
  ibrav = 0, nat = 4, ntyp = 3
/
ATOMIC_SPECIES
Ba 137.33 Ba.upf
Ho 164.93 Ho.upf
Cd 112.41 Cd.upf
CELL_PARAMETERS angstrom
1.9135 1.1048 12.8798
-1.9135 1.1048 12.8798
0.0000 -2.2095 12.8798
ATOMIC_POSITIONS angstrom
Ba 0.0000 0.0000 3.5911
Ba 0.0000 0.0000 35.0482
Ho 0.0000 0.0000 0.0000
Cd 0.0000 0.0000 19.3197
! Formation enthalpy at 0 K   0.281 eV/atom
! Energy   -8.22 eV for the cell shown

---

# 2
! Y3TcSn | Alexandria | PBE-GGA | optimized geometry; values from VASP
&SYSTEM
  ibrav = 0, nat = 5, ntyp = 3
/
ATOMIC_SPECIES
Y 88.91 Y.upf
Tc 98.00 Tc.upf
Sn 118.71 Sn.upf
CELL_PARAMETERS angstrom
5.2900 0.0000 0.0000
0.0000 5.2900 0.0000
0.0000 0.0000 5.2900
ATOMIC_POSITIONS angstrom
Y 0.0000 0.0000 2.6450
Y 0.0000 2.6450 0.0000
Y 2.6450 0.0000 0.0000
Tc 0.0000 0.0000 0.0000
Sn 2.6450 2.6450 2.6450
! ΔE to the lowest computed polymorph   0.00 eV/f.u.
! Formation enthalpy at 0 K   -0.023 eV/atom
! Energy   -33.88 eV for the cell shown

---

# 3
! SiP2WS | Alexandria | PBE-GGA | optimized geometry; values from VASP
&SYSTEM
  ibrav = 0, nat = 5, ntyp = 4
/
ATOMIC_SPECIES
Si 28.09 Si.upf
P 30.97 P.upf
W 183.84 W.upf
S 32.06 S.upf
CELL_PARAMETERS angstrom
4.7915 0.0000 0.0000
0.0000 4.7915 0.0000
0.0000 0.0000 4.5379
ATOMIC_POSITIONS angstrom
Si 0.0000 0.0000 0.0000
P 0.0000 2.3958 2.2690
P 2.3958 0.0000 2.2690
W 2.3958 2.3958 2.2690
S 2.3958 2.3958 0.0000
! Formation energy without anion corrections   0.736 eV per atom
! ΔE to the lowest computed polymorph   0.00 eV/f.u.
! Energy   -29.64 eV for the cell shown

---

# 4
! BiHRh | Alexandria | PBE-GGA | optimized geometry; values from VASP
&SYSTEM
  ibrav = 0, nat = 3, ntyp = 3
/
ATOMIC_SPECIES
Bi 208.98 Bi.upf
H 1.01 H.upf
Rh 102.91 Rh.upf
CELL_PARAMETERS angstrom
-1.5434 1.5434 4.8356
1.5434 -1.5434 4.8356
1.5434 1.5434 -4.8356
ATOMIC_POSITIONS angstrom
Bi 0.0000 0.0000 0.0000
H 0.0000 0.0000 2.3845
Rh 0.0000 0.0000 6.8507
! ΔE to the lowest computed polymorph   1.00 eV/f.u.
! Energy   -13.76 eV for the cell shown

---

# 5
! NaAg12Se6 | Alexandria | PBE-GGA | optimized geometry; values from VASP
&SYSTEM
  ibrav = 0, nat = 19, ntyp = 3
/
ATOMIC_SPECIES
Na 22.99 Na.upf
Ag 107.87 Ag.upf
Se 78.96 Se.upf
CELL_PARAMETERS angstrom
5.7136 3.2987 3.9318
-5.7136 3.2987 3.9318
0.0000 -6.5975 3.9318
ATOMIC_POSITIONS angstrom
Na 0.0000 0.0000 0.0000
Ag -1.5477 -0.8936 3.4718
Ag -1.5503 -2.6852 5.8977
Ag -3.1006 0.0000 5.8977
Ag 1.5478 -0.8936 3.4718
Ag 0.0000 1.7872 3.4718
Ag 1.5503 -2.6852 5.8977
Ag -1.5503 2.6852 5.8977
Ag 0.0000 -1.7872 8.3236
Ag -1.5477 0.8936 8.3236
Ag 3.1006 0.0000 5.8977
Ag 1.5503 2.6852 5.8977
Ag 1.5478 0.8936 8.3236
Se 0.0000 -2.9574 3.7472
Se -2.5612 1.4787 3.7472
Se -2.5612 -1.4787 8.0482
Se 2.5612 1.4787 3.7472
Se 2.5612 -1.4787 8.0482
Se 0.0000 2.9574 8.0482
! Formation energy without anion corrections   -0.093 eV per atom
! Energy   -58.21 eV for the cell shown

---

# 6
! Al2GePt5 | Alexandria | PBE-GGA | optimized geometry; values from VASP
&SYSTEM
  ibrav = 0, nat = 16, ntyp = 3
/
ATOMIC_SPECIES
Al 26.98 Al.upf
Ge 72.64 Ge.upf
Pt 195.08 Pt.upf
CELL_PARAMETERS angstrom
5.5741 0.0000 0.0000
0.0000 10.9633 0.0000
0.0000 0.0000 3.9838
ATOMIC_POSITIONS angstrom
Al 0.8980 1.6187 0.0000
Al 1.8890 7.1003 0.0000
Al 3.6850 3.8630 0.0000
Al 4.6761 9.3446 0.0000
Ge 0.0000 5.4817 1.9919
Ge 2.7870 0.0000 1.9919
Pt 0.0000 0.0000 1.9919
Pt 0.4264 7.9690 1.9919
Pt 1.1632 4.3323 0.0000
Pt 1.6238 9.8140 0.0000
Pt 2.3606 2.4873 1.9919
Pt 2.7870 5.4817 1.9919
Pt 3.2135 8.4760 1.9919
Pt 3.9503 1.1493 0.0000
Pt 4.4108 6.6310 0.0000
Pt 5.1476 2.9943 1.9919
! Formation enthalpy at 0 K   -0.699 eV/atom
! Energy   -95.80 eV for the cell shown

---

| no. | magnetic moment (μB per cell) | N(E_F) (states/eV/f.u.) |
| --- | --- | --- |
| 1 | 0.00 | 5.49 |
| 2 | 0.00 | 1.14 |
| 3 | 0.00 | 4.51 |
| 4 | 0.00 | 2.15 |
| 5 | 0.00 | 3.70 |
| 6 | 0.00 | 2.82 |